Here is an optimized crystal structure of SrSiHgPb2 from Alexandria. Energies are from PBE.

The structure in POSCAR format:
```
SrSiHgPb2
1.0
6.2390 0.0000 0.0000
0.0000 6.2390 0.0000
0.0000 0.0000 5.5998
Sr Si Hg Pb
1 1 1 2
Cartesian
0.0000 0.0000 0.0000 Sr
0.0000 0.0000 2.7999 Si
3.1195 3.1195 2.7999 Hg
0.0000 3.1195 0.0000 Pb
3.1195 0.0000 0.0000 Pb
```

- raw total energy (eV/atom) = -2.012
- energy relative to the elements, uncorrected (meV/atom) = 953
- D(E_F) (states/eV/f.u.) = 7.45



Here is an optimized crystal structure of TaSiHgPb2 from Alexandria. Energies are from PBE.

The structure in POSCAR format:
```
TaSiHgPb2
1.0
5.5536 0.0000 0.0000
0.0000 5.5536 0.0000
0.0000 0.0000 5.3384
Ta Si Hg Pb
1 1 1 2
Cartesian
0.0000 0.0000 0.0000 Ta
2.7768 2.7768 0.0000 Si
0.0000 0.0000 2.6692 Hg
0.0000 2.7768 2.6692 Pb
2.7768 0.0000 2.6692 Pb
```

- raw total energy (eV/atom) = -3.370
- energy relative to the elements, uncorrected (meV/atom) = 1629
- D(E_F) (states/eV/f.u.) = 5.11



Here is an optimized crystal structure of TaSi2HgPb from Alexandria. Energies are from PBE.

The structure in POSCAR format:
```
TaSi2HgPb
1.0
5.1678 0.0000 0.0000
0.0000 5.1678 0.0000
0.0000 0.0000 5.4311
Ta Si Hg Pb
1 2 1 1
Cartesian
0.0000 0.0000 0.0000 Ta
0.0000 2.5839 2.7155 Si
2.5839 0.0000 2.7155 Si
2.5839 2.5839 0.0000 Hg
2.5839 2.5839 2.7155 Pb
```

- raw total energy (eV/atom) = -3.358
- energy relative to the elements, uncorrected (meV/atom) = 1984
- D(E_F) (states/eV/f.u.) = 5.87